No. 1
Material: Dy3Si2Ni
Method: DFT, PBE
State: optimized geometry

```
data_Dy3Si2Ni
_chemical_formula_sum 'Dy12 Si8 Ni4'
_symmetry_space_group_name_H-M 'P 1'
_symmetry_Int_Tables_number 1
_symmetry_space_group_name_Hall 'P 1'
_cell_length_a 11.268
_cell_length_b 4.120
_cell_length_c 11.273
_cell_angle_alpha 90.00
_cell_angle_beta 90.00
_cell_angle_gamma 90.00
loop_
_atom_site_label
_atom_site_fract_x
_atom_site_fract_y
_atom_site_fract_z
Dy1 0.059 0.250 0.125
Dy2 0.117 0.750 0.560
Dy3 0.213 0.250 0.804
Dy4 0.287 0.750 0.304
Dy5 0.383 0.250 0.060
Dy6 0.441 0.750 0.625
Dy7 0.559 0.250 0.375
Dy8 0.617 0.750 0.940
Dy9 0.713 0.250 0.696
Dy10 0.787 0.750 0.196
Dy11 0.883 0.250 0.440
Dy12 0.941 0.750 0.875
Si1 0.026 0.750 0.313
Si2 0.197 0.750 0.994
Si3 0.303 0.250 0.494
Si4 0.474 0.250 0.813
Si5 0.526 0.750 0.187
Si6 0.697 0.750 0.506
Si7 0.803 0.250 0.006
Si8 0.974 0.250 0.687
Ni1 0.130 0.250 0.366
Ni2 0.370 0.750 0.866
Ni3 0.630 0.250 0.134
Ni4 0.870 0.750 0.634
```

## Properties
raw total energy: -5.81 eV/atom


No. 2
Material: SmDy2Si2Ni2
Method: DFT, PBE
State: optimized geometry

```
data_SmDy2Si2Ni2
_chemical_formula_sum 'Sm1 Dy2 Si2 Ni2'
_symmetry_space_group_name_H-M 'P 1'
_symmetry_Int_Tables_number 1
_symmetry_space_group_name_Hall 'P 1'
_cell_length_a 9.888
_cell_length_b 9.888
_cell_length_c 9.888
_cell_angle_alpha 24.29
_cell_angle_beta 24.29
_cell_angle_gamma 24.29
loop_
_atom_site_label
_atom_site_fract_x
_atom_site_fract_y
_atom_site_fract_z
Sm1 0.000 0.000 0.000
Dy1 0.123 0.123 0.123
Dy2 0.877 0.877 0.877
Si1 0.264 0.264 0.264
Si2 0.736 0.736 0.736
Ni1 0.400 0.400 0.400
Ni2 0.600 0.600 0.600
```

## Properties
raw total energy: -5.83 eV/atom


No. 3
Material: SmDySiNi
Method: DFT, PBE
State: optimized geometry

```
data_SmDySiNi
_chemical_formula_sum 'Sm1 Dy1 Si1 Ni1'
_symmetry_space_group_name_H-M 'P 1'
_symmetry_Int_Tables_number 1
_symmetry_space_group_name_Hall 'P 1'
_cell_length_a 4.062
_cell_length_b 5.689
_cell_length_c 5.689
_cell_angle_alpha 41.88
_cell_angle_beta 90.00
_cell_angle_gamma 90.00
loop_
_atom_site_label
_atom_site_fract_x
_atom_site_fract_y
_atom_site_fract_z
Sm1 0.000 0.000 0.000
Dy1 0.500 0.281 0.281
Si1 0.500 0.579 0.579
Ni1 0.000 0.711 0.711
```

## Properties
raw total energy: -5.73 eV/atom


No. 4
Material: DySi3TcNi
Method: DFT, PBE
State: optimized geometry

```
data_DySi3TcNi
_chemical_formula_sum 'Dy2 Si6 Tc2 Ni2'
_symmetry_space_group_name_H-M 'P 1'
_symmetry_Int_Tables_number 1
_symmetry_space_group_name_Hall 'P 1'
_cell_length_a 6.606
_cell_length_b 6.606
_cell_length_c 5.418
_cell_angle_alpha 90.00
_cell_angle_beta 90.00
_cell_angle_gamma 112.15
loop_
_atom_site_label
_atom_site_fract_x
_atom_site_fract_y
_atom_site_fract_z
Dy1 0.231 0.769 0.750
Dy2 0.769 0.231 0.250
Si1 0.255 0.255 0.000
Si2 0.255 0.255 0.500
Si3 0.272 0.728 0.250
Si4 0.728 0.272 0.750
Si5 0.745 0.745 0.000
Si6 0.745 0.745 0.500
Tc1 0.067 0.933 0.250
Tc2 0.933 0.067 0.750
Ni1 0.464 0.536 0.250
Ni2 0.536 0.464 0.750
```

## Properties
raw total energy: -6.49 eV/atom


No. 5
Material: DyThSi2Ni2
Method: DFT, PBE
State: optimized geometry

```
data_DyThSi2Ni2
_chemical_formula_sum 'Dy1 Th1 Si2 Ni2'
_symmetry_space_group_name_H-M 'P 1'
_symmetry_Int_Tables_number 1
_symmetry_space_group_name_Hall 'P 1'
_cell_length_a 4.043
_cell_length_b 4.043
_cell_length_c 7.978
_cell_angle_alpha 90.00
_cell_angle_beta 90.00
_cell_angle_gamma 120.00
loop_
_atom_site_label
_atom_site_fract_x
_atom_site_fract_y
_atom_site_fract_z
Dy1 0.000 0.000 0.000
Th1 0.000 0.000 0.500
Si1 0.333 0.667 0.758
Si2 0.667 0.333 0.242
Ni1 0.333 0.667 0.243
Ni2 0.667 0.333 0.757
```

## Properties
raw total energy: -6.55 eV/atom


No. 6
Material: DyZnSi2Ni
Method: DFT, PBE
State: optimized geometry

```
data_DyZnSi2Ni
_chemical_formula_sum 'Dy1 Zn1 Si2 Ni1'
_symmetry_space_group_name_H-M 'P 1'
_symmetry_Int_Tables_number 1
_symmetry_space_group_name_Hall 'P 1'
_cell_length_a 5.776
_cell_length_b 5.776
_cell_length_c 5.776
_cell_angle_alpha 139.83
_cell_angle_beta 139.83
_cell_angle_gamma 58.12
loop_
_atom_site_label
_atom_site_fract_x
_atom_site_fract_y
_atom_site_fract_z
Dy1 0.000 0.000 0.000
Zn1 0.750 0.250 0.500
Si1 0.383 0.383 0.000
Si2 0.617 0.617 0.000
Ni1 0.250 0.750 0.500
```

## Properties
raw total energy: -5.15 eV/atom


No. 7
Material: Dy2ZnSi2Ni5
Method: DFT, PBE
State: optimized geometry

```
data_Dy2ZnSi2Ni5
_chemical_formula_sum 'Dy4 Zn2 Si4 Ni10'
_symmetry_space_group_name_H-M 'P 1'
_symmetry_Int_Tables_number 1
_symmetry_space_group_name_Hall 'P 1'
_cell_length_a 9.585
_cell_length_b 9.585
_cell_length_c 3.268
_cell_angle_alpha 90.00
_cell_angle_beta 90.00
_cell_angle_gamma 90.00
loop_
_atom_site_label
_atom_site_fract_x
_atom_site_fract_y
_atom_site_fract_z
Dy1 0.179 0.321 0.000
Dy2 0.321 0.821 0.000
Dy3 0.679 0.179 0.000
Dy4 0.821 0.679 0.000
Zn1 0.000 0.000 0.000
Zn2 0.500 0.500 0.000
Si1 0.119 0.619 0.000
Si2 0.381 0.119 0.000
Si3 0.619 0.881 0.000
Si4 0.881 0.381 0.000
Ni1 0.000 0.500 0.500
Ni2 0.058 0.785 0.500
Ni3 0.215 0.058 0.500
Ni4 0.285 0.558 0.500
Ni5 0.442 0.285 0.500
Ni6 0.500 0.000 0.500
Ni7 0.558 0.715 0.500
Ni8 0.715 0.442 0.500
Ni9 0.785 0.942 0.500
Ni10 0.942 0.215 0.500
```

## Properties
raw total energy: -5.46 eV/atom


No. 8
Material: Dy2ZnSi4Ni3
Method: DFT, PBE
State: optimized geometry

```
data_Dy2ZnSi4Ni3
_chemical_formula_sum 'Dy2 Zn1 Si4 Ni3'
_symmetry_space_group_name_H-M 'P 1'
_symmetry_Int_Tables_number 1
_symmetry_space_group_name_Hall 'P 1'
_cell_length_a 3.973
_cell_length_b 3.973
_cell_length_c 9.736
_cell_angle_alpha 90.00
_cell_angle_beta 90.00
_cell_angle_gamma 90.00
loop_
_atom_site_label
_atom_site_fract_x
_atom_site_fract_y
_atom_site_fract_z
Dy1 0.000 0.500 0.243
Dy2 0.500 0.000 0.757
Zn1 0.000 0.000 0.500
Si1 0.000 0.000 0.000
Si2 0.000 0.500 0.644
Si3 0.500 0.000 0.356
Si4 0.500 0.500 0.000
Ni1 0.000 0.500 0.879
Ni2 0.500 0.000 0.121
Ni3 0.500 0.500 0.500
```

## Properties
raw total energy: -5.71 eV/atom


No. 9
Material: DyZn2SiNi4
Method: DFT, PBE
State: optimized geometry

```
data_DyZn2SiNi4
_chemical_formula_sum 'Dy1 Zn2 Si1 Ni4'
_symmetry_space_group_name_H-M 'P 1'
_symmetry_Int_Tables_number 1
_symmetry_space_group_name_Hall 'P 1'
_cell_length_a 8.356
_cell_length_b 8.356
_cell_length_c 8.356
_cell_angle_alpha 28.03
_cell_angle_beta 28.03
_cell_angle_gamma 28.03
loop_
_atom_site_label
_atom_site_fract_x
_atom_site_fract_y
_atom_site_fract_z
Dy1 0.000 0.000 0.000
Zn1 0.244 0.244 0.244
Zn2 0.756 0.756 0.756
Si1 0.500 0.500 0.500
Ni1 0.136 0.136 0.136
Ni2 0.407 0.407 0.407
Ni3 0.593 0.593 0.593
Ni4 0.864 0.864 0.864
```

## Properties
raw total energy: -4.84 eV/atom


No. 10
Material: Dy2ZnSi3Ni12
Method: DFT, PBE
State: optimized geometry

```
data_Dy2ZnSi3Ni12
_chemical_formula_sum 'Dy2 Zn1 Si3 Ni12'
_symmetry_space_group_name_H-M 'P 1'
_symmetry_Int_Tables_number 1
_symmetry_space_group_name_Hall 'P 1'
_cell_length_a 6.258
_cell_length_b 6.258
_cell_length_c 6.258
_cell_angle_alpha 84.44
_cell_angle_beta 84.44
_cell_angle_gamma 84.44
loop_
_atom_site_label
_atom_site_fract_x
_atom_site_fract_y
_atom_site_fract_z
Dy1 0.154 0.154 0.154
Dy2 0.846 0.846 0.846
Zn1 0.500 0.500 0.500
Si1 0.000 0.500 0.500
Si2 0.500 0.000 0.500
Si3 0.500 0.500 0.000
Ni1 0.115 0.115 0.598
Ni2 0.115 0.598 0.115
Ni3 0.203 0.686 0.686
Ni4 0.314 0.314 0.797
Ni5 0.314 0.797 0.314
Ni6 0.402 0.885 0.885
Ni7 0.598 0.115 0.115
Ni8 0.686 0.203 0.686
Ni9 0.686 0.686 0.203
Ni10 0.797 0.314 0.314
Ni11 0.885 0.402 0.885
Ni12 0.885 0.885 0.402
```

## Properties
raw total energy: -5.53 eV/atom